Record 1
# TbPmSm2Dy2, optimized geometry, DFT PBE-GGA
# **ΔE_f**: 1.59 eV per formula unit
# **Raw total energy**: -4.41 eV per atom
# **D(E_F)**: 19.872 states/eV per cell
data_TbPmSm2Dy2
_symmetry_space_group_name_H-M 'P n n m'
_symmetry_Int_Tables_number 58
_symmetry_space_group_name_Hall '-P 2 2n'
_cell_length_a 6.589
_cell_length_b 17.998
_cell_length_c 3.405
_cell_angle_alpha 90.00
_cell_angle_beta 90.00
_cell_angle_gamma 90.00
loop_
_atom_site_label
_atom_site_type_symbol
_atom_site_fract_x
_atom_site_fract_y
_atom_site_fract_z
Tb1 Tb 0.000 0.000 0.000
Pm1 Pm 0.000 0.500 0.000
Sm1 Sm 0.225 0.314 0.000
Dy1 Dy 0.222 0.147 0.500

=====

Record 2
# Tb2PmSm2Dy4, optimized geometry, DFT PBE-GGA
# **ΔE_f**: -0.03 eV per formula unit
# **Raw total energy**: -4.65 eV per atom
# **D(E_F)**: 23.609 states/eV per cell
data_Tb2PmSm2Dy4
_symmetry_space_group_name_H-M 'C 1 2/m 1'
_symmetry_Int_Tables_number 12
_symmetry_space_group_name_Hall '-C 2y'
_cell_length_a 18.729
_cell_length_b 3.609
_cell_length_c 9.586
_cell_angle_alpha 90.00
_cell_angle_beta 115.71
_cell_angle_gamma 90.00
loop_
_atom_site_label
_atom_site_type_symbol
_atom_site_fract_x
_atom_site_fract_y
_atom_site_fract_z
Tb1 Tb 0.147 0.000 0.165
Pm1 Pm 0.000 0.000 0.500
Sm1 Sm 0.167 0.500 0.500
Dy1 Dy 0.019 0.500 0.836
Dy2 Dy 0.186 0.000 0.836

=====

Record 3
# PmSmDy2Te6, optimized geometry, DFT PBE-GGA
# **Formation energy from raw total energies**: -1370 meV/atom
# **Raw total energy**: -5.12 eV per atom
data_PmSmDy2Te6
_symmetry_space_group_name_H-M 'R 3'
_symmetry_Int_Tables_number 146
_symmetry_space_group_name_Hall 'R 3'
_cell_length_a 7.7903
_cell_length_b 7.7903
_cell_length_c 21.2295
_cell_angle_alpha 90.00
_cell_angle_beta 90.00
_cell_angle_gamma 120.00
loop_
_atom_site_label
_atom_site_type_symbol
_atom_site_fract_x
_atom_site_fract_y
_atom_site_fract_z
Pm1 Pm 0.0000 0.0000 0.0000
Sm1 Sm 0.0000 0.0000 0.5005
Dy1 Dy 0.0000 0.0000 0.1882
Dy2 Dy 0.0000 0.0000 0.6886
Te1 Te 0.0270 0.3491 0.7638
Te2 Te 0.0292 0.6798 0.2637

=====

Record 4
# Pm3Sm2DyTe6, optimized geometry, DFT PBE-GGA
# **Formation energy from raw total energies**: -1379 meV/atom
# **Raw total energy**: -5.31 eV per atom
# **D(E_F)**: 12.981 states/eV per cell
data_Pm3Sm2DyTe6
_symmetry_space_group_name_H-M 'C 1 2/m 1'
_symmetry_Int_Tables_number 12
_symmetry_space_group_name_Hall '-C 2y'
_cell_length_a 19.347
_cell_length_b 4.417
_cell_length_c 8.929
_cell_angle_alpha 90.00
_cell_angle_beta 103.21
_cell_angle_gamma 90.00
loop_
_atom_site_label
_atom_site_type_symbol
_atom_site_fract_x
_atom_site_fract_y
_atom_site_fract_z
Pm1 Pm 0.000 0.000 0.000
Pm2 Pm 0.170 0.500 0.333
Sm1 Sm 0.168 0.500 0.835
Dy1 Dy 0.000 0.000 0.500
Te1 Te 0.000 0.500 0.257
Te2 Te 0.163 0.000 0.582
Te3 Te 0.166 0.000 0.082

=====

Record 5
# PmSm2DyTe6, optimized geometry, DFT PBE-GGA
# **Formation energy from raw total energies**: -1374 meV/atom
# **Raw total energy**: -5.14 eV per atom
data_PmSm2DyTe6
_symmetry_space_group_name_H-M 'R 3'
_symmetry_Int_Tables_number 146
_symmetry_space_group_name_Hall 'R 3'
_cell_length_a 7.8289
_cell_length_b 7.8289
_cell_length_c 21.3539
_cell_angle_alpha 90.00
_cell_angle_beta 90.00
_cell_angle_gamma 120.00
loop_
_atom_site_label
_atom_site_type_symbol
_atom_site_fract_x
_atom_site_fract_y
_atom_site_fract_z
Pm1 Pm 0.0000 0.0000 0.0000
Sm1 Sm 0.0000 0.0000 0.3099
Sm2 Sm 0.0000 0.0000 0.8113
Dy1 Dy 0.0000 0.0000 0.4983
Te1 Te 0.9998 0.6921 0.4063
Te2 Te 0.0231 0.3487 0.5719

=====

Record 6
# PmSm3Dy2Te6, optimized geometry, DFT PBE-GGA
# **Formation energy from raw total energies**: -1354 meV/atom
# **Raw total energy**: -5.27 eV per atom
# **D(E_F)**: 13.107 states/eV per cell
data_PmSm3Dy2Te6
_symmetry_space_group_name_H-M 'C 1 2/m 1'
_symmetry_Int_Tables_number 12
_symmetry_space_group_name_Hall '-C 2y'
_cell_length_a 19.254
_cell_length_b 4.392
_cell_length_c 8.889
_cell_angle_alpha 90.00
_cell_angle_beta 103.24
_cell_angle_gamma 90.00
loop_
_atom_site_label
_atom_site_type_symbol
_atom_site_fract_x
_atom_site_fract_y
_atom_site_fract_z
Pm1 Pm 0.000 0.000 0.000
Sm1 Sm 0.000 0.000 0.500
Sm2 Sm 0.163 0.500 0.833
Dy1 Dy 0.165 0.500 0.331
Te1 Te 0.003 0.500 0.253
Te2 Te 0.169 0.000 0.090
Te3 Te 0.169 0.000 0.579